No. 1
## UNb5Ru6 (PBE)

Data for an optimized crystal structure of UNb5Ru6.

Cell: 4.3547 7.0820 6.8091 Å, 90.00 71.38 90.00°
Positions (direct):
Ru: 0.5000 0.7412 0.0000
Ru: 0.1663 0.7274 0.6674
Ru: 0.1663 0.2726 0.6674
Ru: 0.8337 0.7274 0.3326
Ru: 0.8337 0.2726 0.3326
Ru: 0.5000 0.2588 0.0000
Nb: 0.3329 0.5000 0.3340
Nb: 0.6799 0.0000 0.6400
Nb: 0.0000 0.5000 0.0000
Nb: 0.3201 0.0000 0.3600
Nb: 0.6671 0.5000 0.6660
U: 0.0000 0.0000 0.0000

Results
Size of the total moment   0.00 μB per cell
ΔE_f   -0.22 eV/atom
Calculated total energy   -9.9895 eV/atom
Calculated volume   16.6 Å³/atom
Symmetry   Cmmm

---

No. 2
## UNbRu2 (PBE)

Data for an optimized crystal structure of UNbRu2.

Cell: 3.5071 4.4466 4.4466 Å, 90.00 90.00 90.00°
Positions (direct):
Ru: 0.0000 0.5000 0.0000
Ru: 0.0000 0.0000 0.5000
Nb: 0.5000 0.5000 0.5000
U: 0.5000 0.0000 0.0000

Results
Size of the total moment   0.00 μB per cell
ΔE_f   -0.17 eV/atom
Calculated total energy   -10.1501 eV/atom
Calculated volume   17.3 Å³/atom
Symmetry   P4/mmm

---

No. 3
## UNb2Ru (PBE)

Data for an optimized crystal structure of UNb2Ru.

Cell: 4.6495 4.6495 4.6495 Å, 60.00 60.00 60.00°
Positions (direct):
Nb: 0.2500 0.2500 0.2500
Nb: 0.7500 0.7500 0.7500
U: 0.5000 0.5000 0.5000
Ru: 0.0000 0.0000 0.0000

Results
Size of the total moment   1.09 μB per cell
ΔE_f   0.12 eV/atom
Calculated total energy   -10.0593 eV/atom
Calculated volume   17.8 Å³/atom
Distance to the lowest polymorph of the same formula   0.0629 eV per atom
Symmetry   Fm-3m

---

No. 4
## UNbRu2 (PBE)

Data for an optimized crystal structure of UNbRu2.

Cell: 3.0777 3.0777 7.2882 Å, 90.00 90.00 90.00°
Positions (direct):
U: 0.5000 0.5000 0.5000
Ru: 0.0000 0.0000 0.7766
Ru: 0.0000 0.0000 0.2234
Nb: 0.5000 0.5000 0.0000

Results
Size of the total moment   0.56 μB per cell
ΔE_f   -0.21 eV/atom
Calculated total energy   -10.1889 eV/atom
Calculated volume   17.3 Å³/atom
Symmetry   P4/mmm

---

No. 5
## UNb2Ru (PBE)

Data for an optimized crystal structure of UNb2Ru.

Cell: 5.0186 3.8551 3.8551 Å, 90.00 90.00 90.00°
Positions (direct):
U: 0.5000 0.0000 0.0000
Ru: 0.5000 0.5000 0.5000
Nb: 0.0000 0.5000 0.0000
Nb: 0.0000 0.0000 0.5000

Results
Size of the total moment   0.00 μB per cell
ΔE_f   0.05 eV/atom
Calculated total energy   -10.1222 eV/atom
Calculated volume   18.6 Å³/atom
Distance to the lowest polymorph of the same formula   0.0000 eV per atom
Symmetry   P4/mmm

---

No. 6
## UNb2Ru (PBE)

Data for an optimized crystal structure of UNb2Ru.

Cell: 3.3254 3.3254 6.4666 Å, 90.00 90.00 90.00°
Positions (direct):
Ru: 0.5000 0.5000 0.0000
Nb: 0.0000 0.0000 0.2453
Nb: 0.0000 0.0000 0.7547
U: 0.5000 0.5000 0.5000

Results
Size of the total moment   0.88 μB per cell
ΔE_f   0.14 eV/atom
Calculated total energy   -10.0369 eV/atom
Calculated volume   17.9 Å³/atom
Distance to the lowest polymorph of the same formula   0.0853 eV per atom
Symmetry   P4/mmm

---

No. 7
## UNb2Ru (PBE)

Data for an optimized crystal structure of UNb2Ru.

Cell: 2.8858 2.8858 10.2280 Å, 81.89 81.89 60.00°
Positions (direct):
Ru: 0.5000 0.5000 0.5000
Nb: 0.9059 0.9059 0.2822
Nb: 0.0941 0.0941 0.7178
U: 0.0000 0.0000 0.0000

Results
Size of the total moment   0.00 μB per cell
ΔE_f   0.36 eV/atom
Calculated total energy   -9.8146 eV/atom
Calculated volume   18.2 Å³/atom
Distance to the lowest polymorph of the same formula   0.3077 eV per atom
Symmetry   R-3m

---

No. 8
## Nb6V2Ru (PBE)

Data for an optimized crystal structure of Nb6V2Ru.

Cell: 4.3608 6.1304 7.4954 Å, 114.14 106.95 90.00°
Positions (direct):
V: 0.3351 0.3349 0.6698
V: 0.6649 0.6651 0.3302
Nb: 0.5000 0.2564 0.0000
Nb: 0.8320 0.0846 0.6639
Nb: 0.5000 0.7436 0.0000
Nb: 0.8320 0.5793 0.6639
Nb: 0.1680 0.9154 0.3361
Nb: 0.1680 0.4207 0.3361
Ru: 0.0000 0.0000 0.0000

Results
Size of the total moment   0.00 μB per cell
ΔE_f   0.53 eV/atom
Calculated total energy   -9.2430 eV/atom
Calculated volume   19.3 Å³/atom
Symmetry   Immm

---

No. 9
## NbV2Ru4 (PBE)

Data for an optimized crystal structure of NbV2Ru4.

Cell: 4.6523 4.6523 6.8991 Å, 70.30 70.30 90.00°
Positions (direct):
Ru: 0.5000 0.0000 0.0000
Ru: 0.0000 0.5000 0.0000
Ru: 0.2126 0.2126 0.5748
Ru: 0.7874 0.7874 0.4252
Nb: 0.0000 0.0000 0.0000
V: 0.6194 0.6194 0.7612
V: 0.3806 0.3806 0.2388

Results
Size of the total moment   0.01 μB per cell
ΔE_f   1.15 eV/atom
Calculated total energy   -8.1985 eV/atom
Calculated volume   18.8 Å³/atom
Symmetry   I4/mmm

---

No. 10
## Nb2VRu (PBE)

Data for an optimized crystal structure of Nb2VRu.

Cell: 5.8202 5.8202 5.8202 Å, 55.17 150.54 134.47°
Positions (direct):
Nb: 0.0000 0.2565 0.2565
Nb: 0.0000 0.7435 0.7435
V: 0.0000 0.0000 0.0000
Ru: 0.0000 0.5000 0.5000

Results
Size of the total moment   0.00 μB per cell
ΔE_f   0.55 eV/atom
Calculated total energy   -9.0807 eV/atom
Calculated volume   17.2 Å³/atom
Symmetry   Immm

---

No. 11
## NbVRu2 (PBE)

Data for an optimized crystal structure of NbVRu2.

Cell: 2.9631 2.9631 6.7844 Å, 90.00 90.00 90.00°
Positions (direct):
Ru: 0.0000 0.0000 0.7833
Ru: 0.0000 0.0000 0.2167
Nb: 0.5000 0.5000 0.5000
V: 0.5000 0.5000 0.0000

Results
Size of the total moment   0.00 μB per cell
ΔE_f   -0.26 eV/atom
Calculated total energy   -9.6908 eV/atom
Calculated volume   14.9 Å³/atom
Symmetry   P4/mmm

---

No. 12
## NbV6Ru5 (PBE)

Data for an optimized crystal structure of NbV6Ru5.

Cell: 4.2845 6.0592 6.7904 Å, 90.00 108.44 90.00°
Positions (direct):
V: 0.8349 0.2484 0.6696
V: 0.1651 0.2484 0.3304
V: 0.5000 0.7488 0.0000
V: 0.5000 0.2512 0.0000
V: 0.1651 0.7516 0.3304
V: 0.8349 0.7516 0.6696
Ru: 0.6699 0.0000 0.3397
Ru: 0.6681 0.5000 0.3358
Ru: 0.3319 0.5000 0.6642
Ru: 0.0000 0.5000 0.0000
Ru: 0.3301 0.0000 0.6603
Nb: 0.0000 0.0000 0.0000

Results
Size of the total moment   0.00 μB per cell
ΔE_f   -0.25 eV/atom
Calculated total energy   -9.5147 eV/atom
Calculated volume   13.9 Å³/atom
Symmetry   Cmmm